# 1
The following is a DFT calculation (PBE-GGA) of a relaxed structure of Tb8CeDy4.

Cell: 7.7502 7.7502 7.7502 Å, 89.95 89.95 89.95°
Fractional positions:
1 Tb 0.2414 0.7582 0.7582
2 Tb 0.2417 0.2417 0.2417
3 Tb 0.2418 0.2418 0.7586
4 Tb 0.2418 0.7586 0.2418
5 Tb 0.7582 0.2414 0.7582
6 Tb 0.7582 0.7582 0.2414
7 Tb 0.7583 0.7583 0.7583
8 Tb 0.7586 0.2418 0.2418
9 Ce 0.5000 0.5000 0.5000
10 Dy 0.0000 0.0000 0.0000
11 Dy 0.0000 0.5000 0.5000
12 Dy 0.5000 0.0000 0.5000
13 Dy 0.5000 0.5000 0.0000

Values from the calculation:
ΔH_f (0 K), eV per atom: 0.51
Space-group type: R-3m
Magnetization, μB/cell: 1.32
Raw total energy, eV/atom: -4.2136

---

# 2
The following is a DFT calculation (PBE-GGA) of a relaxed structure of SmHo6In2.

Cell: 8.7779 8.7779 8.7779 Å, 138.38 138.38 60.33°
Fractional positions:
1 Sm 0.0000 0.0000 0.0000
2 Ho 0.2358 0.5909 0.0000
3 Ho 0.2500 0.7500 0.5000
4 Ho 0.4091 0.4091 0.6449
5 Ho 0.5909 0.2358 0.0000
6 Ho 0.7500 0.2500 0.5000
7 Ho 0.7642 0.7642 0.3551
8 In 0.2148 0.2148 0.0000
9 In 0.7852 0.7852 0.0000

Values from the calculation:
ΔH_f (0 K), eV per atom: 0.31
Space-group type: I-42m
Magnetization, μB/cell: 0.00
Raw total energy, eV/atom: -3.8703
Relative energy among the computed polymorphs, eV/f.u.: 4.623

---

# 3
The following is a DFT calculation (PBE-GGA) of a relaxed structure of FeSiOs2.

Cell: 2.7622 3.7413 5.0892 Å, 90.00 90.00 90.00°
Fractional positions:
1 Fe 0.0000 0.0000 0.0000
2 Si 0.5000 0.5000 0.7406
3 Os 0.0000 0.0000 0.5105
4 Os 0.5000 0.5000 0.2177

Values from the calculation:
Space-group type: Pmm2
Magnetization, μB/cell: 1.80
Raw total energy, eV/atom: -9.0697
Energy relative to the elements, uncorrected, eV/atom: 0.017

---

# 4
The following is a DFT calculation (PBE-GGA) of a relaxed structure of BaTcP3.

Cell: 5.3549 5.3549 5.3549 Å, 90.00 90.00 90.00°
Fractional positions:
1 Ba 0.0000 0.0000 0.0000
2 Tc 0.5000 0.5000 0.5000
3 P 0.0000 0.0000 0.5000
4 P 0.0000 0.5000 0.0000
5 P 0.5000 0.0000 0.0000

Values from the calculation:
ΔH_f (0 K), eV per atom: 2.47
Space-group type: Pm-3m
Magnetization, μB/cell: 0.00
Raw total energy, eV/atom: -3.2289
Relative energy among the computed polymorphs, eV/f.u.: 13.354

---

# 5
The following is a DFT calculation (PBE-GGA) of a relaxed structure of Ba2MgGa10.

Cell: 7.3840 15.4816 5.7373 Å, 90.00 90.00 90.00°
Fractional positions:
1 Ba 0.2156 0.1635 0.0000
2 Ba 0.2844 0.6635 0.0000
3 Ba 0.7156 0.3365 0.0000
4 Ba 0.7844 0.8365 0.0000
5 Mg 0.0000 0.0000 0.5000
6 Mg 0.5000 0.5000 0.5000
7 Ga 0.0446 0.3073 0.5000
8 Ga 0.1001 0.8337 0.5000
9 Ga 0.1421 0.5566 0.5000
10 Ga 0.1929 0.4247 0.2145
11 Ga 0.1929 0.4247 0.7855
12 Ga 0.3071 0.9247 0.2145
13 Ga 0.3071 0.9247 0.7855
14 Ga 0.3579 0.0566 0.5000
15 Ga 0.3999 0.3337 0.5000
16 Ga 0.4554 0.8073 0.5000
17 Ga 0.5446 0.1927 0.5000
18 Ga 0.6001 0.6663 0.5000
19 Ga 0.6421 0.9434 0.5000
20 Ga 0.6929 0.0753 0.2145
21 Ga 0.6929 0.0753 0.7855
22 Ga 0.8071 0.5753 0.2145
23 Ga 0.8071 0.5753 0.7855
24 Ga 0.8579 0.4434 0.5000
25 Ga 0.8999 0.1663 0.5000
26 Ga 0.9554 0.6927 0.5000

Values from the calculation:
ΔH_f (0 K), eV per atom: -0.24
Space-group type: Pbam
Magnetization, μB/cell: 0.00
Raw total energy, eV/atom: -2.9916

---

# 6
The following is a DFT calculation (PBE-GGA) of a relaxed structure of K8Tl3Au2.

Cell: 11.3170 11.3170 5.5154 Å, 91.50 91.50 51.21°
Fractional positions:
1 K 0.0447 0.6153 0.2599
2 K 0.0673 0.0673 0.2525
3 K 0.3411 0.3411 0.7750
4 K 0.3847 0.9553 0.7401
5 K 0.6153 0.0447 0.2599
6 K 0.6589 0.6589 0.2250
7 K 0.9327 0.9327 0.7475
8 K 0.9553 0.3847 0.7401
9 Tl 0.3269 0.6731 0.0000
10 Tl 0.5000 0.5000 0.5000
11 Tl 0.6731 0.3269 0.0000
12 Au 0.2323 0.2323 0.2574
13 Au 0.7677 0.7677 0.7426

Values from the calculation:
ΔH_f (0 K), eV per atom: -0.11
Space-group type: C2/m
Magnetization, μB/cell: 0.00
Raw total energy, eV/atom: -1.8335